A) Entry from Alexandria via LeMat-Bulk: crystalline ThGa3Pd3 at its relaxed geometry (GGA-PBE).

Output
N(E_F) ... 2.4 states/eV/f.u.

Lattice parameters (Å, degrees): 6.9137 6.9137 19.0521 90.00 90.00 120.00
Space group R-3 (No. 148, hexagonal axes)
Inequivalent atoms, fractional coordinates:
Th  0.0000  0.0000  0.1605 [6 per cell]
Ga  0.0231  0.4092  0.3722 [18 per cell]
Pd  0.0052  0.2439  0.5678 [18 per cell]



B) Entry from Alexandria via LeMat-Bulk: crystalline ThGa3Pd3 at its relaxed geometry (GGA-PBE).

Output
N(E_F) ... 5.1 states/eV/f.u.

Lattice parameters (Å, degrees): 6.758 6.758 6.758 90.00 90.00 90.00
Space group Pm-3n (No. 223)
Inequivalent atoms, fractional coordinates:
Th  0.000  0.000  0.000 [2 per cell]
Ga  0.000  0.250  0.500 [6 per cell]
Pd  0.000  0.500  0.250 [6 per cell]



Stability order, top to bottom: A), B)



A) Entry from Alexandria via LeMat-Bulk: crystalline TiGaPd5 at its relaxed geometry (GGA-PBE).

Output
N(E_F) ... 3.6 states/eV/f.u.

Lattice parameters (Å, degrees): 9.544 9.157 6.740 90.00 121.53 90.00
Space group C2/c (No. 15)
Inequivalent atoms, fractional coordinates:
Ti  0.000  0.038  0.250 [4 per cell]
Ga  0.000  0.500  0.000 [4 per cell]
Pd  0.000  0.309  0.250 [4 per cell]
Pd  0.114  0.193  0.990 [8 per cell]
Pd  0.204  0.102  0.669 [8 per cell]



B) Entry from Alexandria via LeMat-Bulk: crystalline TiGaPd5 at its relaxed geometry (GGA-PBE).

Output
N(E_F) ... 2.9 states/eV/f.u.

Lattice parameters (Å, degrees): 4.008 4.008 7.074 90.00 90.00 90.00
Space group P4/mmm (No. 123)
Inequivalent atoms, fractional coordinates:
Ti  0.000  0.000  0.000 [1 per cell]
Ga  0.500  0.500  0.500 [1 per cell]
Pd  0.000  0.000  0.500 [1 per cell]
Pd  0.000  0.500  0.226 [4 per cell]



Stability order, top to bottom: B), A)